Record 1
The following is a PBE calculation of crystalline Cd3TcB at its relaxed geometry, from Alexandria via LeMat-Bulk.

Formation energy in kJ per mole of atoms: 97.5
Space-group type: Pm-3m (221)

abc: 4.5120 4.5120 4.5120
angles: 90.00 90.00 90.00
With the nearest neighbours (Å) after each atom.
Sites, in units of the cell vectors:
Cd (0.0000, 0.0000, 0.5000)  2 B 2.26
Cd (0.5000, 0.0000, 0.0000)  2 B 2.26
Cd (0.0000, 0.5000, 0.0000)  2 B 2.26
B (0.0000, 0.0000, 0.0000)  6 Cd 2.26
Tc (0.5000, 0.5000, 0.5000)  12 Cd 3.19

---

Record 2
The following is a PBE calculation of crystalline CdTc2B at its relaxed geometry, from Alexandria via LeMat-Bulk.

Formation energy in kJ per mole of atoms: 92.1
Space-group type: Fm-3m (225)

abc: 4.2715 4.2715 4.2715
angles: 60.00 60.00 60.00
With the nearest neighbours (Å) after each atom.
Sites, in units of the cell vectors:
B (0.0000, 0.0000, 0.0000)  8 Tc 2.62
Tc (0.2500, 0.2500, 0.2500)  4 Cd 2.62, 4 B 2.62
Tc (0.7500, 0.7500, 0.7500)  4 B 2.62, 4 Cd 2.62
Cd (0.5000, 0.5000, 0.5000)  8 Tc 2.62

---

Record 3
The following is a PBE calculation of crystalline CdTcB3 at its relaxed geometry, from Alexandria via LeMat-Bulk.

Formation energy in kJ per mole of atoms: 102.0
Space-group type: Pm-3m (221)

abc: 4.1428 4.1428 4.1428
angles: 90.00 90.00 90.00
With the nearest neighbours (Å) after each atom.
Sites, in units of the cell vectors:
Tc (0.0000, 0.0000, 0.0000)  6 B 2.07
Cd (0.5000, 0.5000, 0.5000)  12 B 2.93
B (0.0000, 0.0000, 0.5000)  2 Tc 2.07
B (0.0000, 0.5000, 0.0000)  2 Tc 2.07
B (0.5000, 0.0000, 0.0000)  2 Tc 2.07

---

Record 4
The following is a PBE calculation of crystalline Cd3TcB at its relaxed geometry, from Alexandria via LeMat-Bulk.

Formation energy in kJ per mole of atoms: 167.6
Space-group type: Pm-3m (221)

abc: 5.2534 5.2534 5.2534
angles: 90.00 90.00 90.00
With the nearest neighbours (Å) after each atom.
Sites, in units of the cell vectors:
Cd (0.0000, 0.5000, 0.0000)  2 Tc 2.63
Cd (0.5000, 0.0000, 0.0000)  2 Tc 2.63
Cd (0.0000, 0.0000, 0.5000)  2 Tc 2.63
B (0.5000, 0.5000, 0.5000)  12 Cd 3.71
Tc (0.0000, 0.0000, 0.0000)  6 Cd 2.63

---

Record 5
The following is a PBE calculation of crystalline CdTc2B at its relaxed geometry, from Alexandria via LeMat-Bulk.

Formation energy in kJ per mole of atoms: 93.3
Space-group type: I-42d (122)

abc: 4.0781 4.0781 8.6077
angles: 76.30 76.30 90.00
With the nearest neighbours (Å) after each atom.
Sites, in units of the cell vectors:
B (0.2500, 0.7500, 0.5000)  4 Tc 2.34
B (0.5000, 0.5000, 0.0000)  4 Tc 2.34
Tc (0.5145, 0.1250, 0.2500)  2 Tc 2.34, 2 B 2.34
Tc (0.3750, 0.4855, 0.7500)  2 Tc 2.34, 2 B 2.34
Tc (0.8750, 0.7645, 0.7500)  2 Tc 2.34, 2 B 2.34
Tc (0.2355, 0.6250, 0.2500)  2 Tc 2.34, 2 B 2.34
Cd (0.7500, 0.2500, 0.5000)  4 Tc 2.70, 4 B 2.88
Cd (0.0000, 0.0000, 0.0000)  4 Tc 2.70, 4 B 2.88

---

Record 6
The following is a PBE calculation of crystalline TiCdTc2B at its relaxed geometry, from Alexandria via LeMat-Bulk.

Formation energy in kJ per mole of atoms: 195.4
Space-group type: P4/mmm (123)

abc: 4.9434 3.8969 4.9434
angles: 90.00 90.00 90.00
With the nearest neighbours (Å) after each atom.
Sites, in units of the cell vectors:
Tc (0.5000, 0.0000, 0.0000)  2 Cd 2.47
Tc (0.0000, 0.0000, 0.5000)  2 Cd 2.47
Ti (0.5000, 0.5000, 0.5000)  8 Tc 3.15, 4 B 3.50
B (0.0000, 0.5000, 0.0000)  2 Cd 1.95
Cd (0.0000, 0.0000, 0.0000)  2 B 1.95

---

Record 7
The following is a PBE calculation of crystalline Zn2CdTcB at its relaxed geometry, from Alexandria via LeMat-Bulk.

Formation energy in kJ per mole of atoms: 80.6
Space-group type: P4/mmm (123)

abc: 4.1277 4.5439 4.1277
angles: 90.00 90.00 90.00
With the nearest neighbours (Å) after each atom.
Sites, in units of the cell vectors:
Zn (0.5000, 0.0000, 0.0000)  2 B 2.06
Zn (0.0000, 0.0000, 0.5000)  2 B 2.06
Tc (0.5000, 0.5000, 0.5000)  4 Cd 2.92, 8 Zn 3.07
Cd (0.0000, 0.5000, 0.0000)  2 B 2.27
B (0.0000, 0.0000, 0.0000)  4 Zn 2.06, 2 Cd 2.27

---

Record 8
The following is a PBE calculation of crystalline Zr2CdTcB at its relaxed geometry, from Alexandria via LeMat-Bulk.

Formation energy in kJ per mole of atoms: -22.1
Space-group type: P4/mmm (123)

abc: 4.7197 4.7197 4.0739
angles: 90.00 90.00 90.00
With the nearest neighbours (Å) after each atom.
Sites, in units of the cell vectors:
Zr (0.0000, 0.5000, 0.0000)  2 B 2.36
Zr (0.5000, 0.0000, 0.0000)  2 B 2.36
B (0.0000, 0.0000, 0.0000)  2 Tc 2.04
Tc (0.0000, 0.0000, 0.5000)  2 B 2.04
Cd (0.5000, 0.5000, 0.5000)  8 Zr 3.12, 4 Tc 3.34

---

Record 9
The following is a PBE calculation of crystalline Cd3BTe at its relaxed geometry, from Alexandria via LeMat-Bulk.

Space-group type: Pm-3m (221)
Formation energy from raw total energies in eV per formula unit: 6.9

abc: 5.7607 5.7607 5.7607
angles: 90.00 90.00 90.00
With the nearest neighbours (Å) after each atom.
Sites, in units of the cell vectors:
Te (0.0000, 0.0000, 0.0000)  6 Cd 2.88
Cd (0.0000, 0.0000, 0.5000)  2 Te 2.88
Cd (0.5000, 0.0000, 0.0000)  2 Te 2.88
Cd (0.0000, 0.5000, 0.0000)  2 Te 2.88
B (0.5000, 0.5000, 0.5000)  12 Cd 4.07

---

Record 10
The following is a PBE calculation of crystalline CdBTe3 at its relaxed geometry, from Alexandria via LeMat-Bulk.

Space-group type: Pm-3m (221)
Formation energy from raw total energies in eV per formula unit: 3.1

abc: 4.9502 4.9502 4.9502
angles: 90.00 90.00 90.00
With the nearest neighbours (Å) after each atom.
Sites, in units of the cell vectors:
Te (0.0000, 0.0000, 0.5000)  2 B 2.48
Te (0.0000, 0.5000, 0.0000)  2 B 2.48
Te (0.5000, 0.0000, 0.0000)  2 B 2.48
Cd (0.5000, 0.5000, 0.5000)  12 Te 3.50
B (0.0000, 0.0000, 0.0000)  6 Te 2.48

---

Record 11
The following is a PBE calculation of crystalline CdB2Te at its relaxed geometry, from Alexandria via LeMat-Bulk.

Space-group type: Fm-3m (225)
Formation energy from raw total energies in eV per formula unit: 6.5

abc: 4.5164 4.5164 4.5164
angles: 60.00 60.00 60.00
With the nearest neighbours (Å) after each atom.
Sites, in units of the cell vectors:
B (0.7500, 0.7500, 0.7500)  4 Cd 2.77, 4 Te 2.77
B (0.2500, 0.2500, 0.2500)  4 Cd 2.77, 4 Te 2.77
Cd (0.0000, 0.0000, 0.0000)  8 B 2.77
Te (0.5000, 0.5000, 0.5000)  8 B 2.77

---

Record 12
The following is a PBE calculation of crystalline CdB3Te at its relaxed geometry, from Alexandria via LeMat-Bulk.

Space-group type: Pm-3m (221)
Formation energy from raw total energies in eV per formula unit: 10.5

abc: 4.4853 4.4853 4.4853
angles: 90.00 90.00 90.00
With the nearest neighbours (Å) after each atom.
Sites, in units of the cell vectors:
B (0.0000, 0.5000, 0.0000)  2 Cd 2.24
B (0.0000, 0.0000, 0.5000)  2 Cd 2.24
B (0.5000, 0.0000, 0.0000)  2 Cd 2.24
Te (0.5000, 0.5000, 0.5000)  12 B 3.17
Cd (0.0000, 0.0000, 0.0000)  6 B 2.24

---

Record 13
The following is a PBE calculation of crystalline CdBTe3 at its relaxed geometry, from Alexandria via LeMat-Bulk.

Space-group type: Pm-3m (221)
Formation energy from raw total energies in eV per formula unit: 7.0

abc: 5.6022 5.6022 5.6022
angles: 90.00 90.00 90.00
With the nearest neighbours (Å) after each atom.
Sites, in units of the cell vectors:
Te (0.5000, 0.0000, 0.0000)  2 Cd 2.80
Te (0.0000, 0.5000, 0.0000)  2 Cd 2.80
Te (0.0000, 0.0000, 0.5000)  2 Cd 2.80
Cd (0.0000, 0.0000, 0.0000)  6 Te 2.80
B (0.5000, 0.5000, 0.5000)  12 Te 3.96

---

Record 14
The following is a PBE calculation of crystalline CdB3Te at its relaxed geometry, from Alexandria via LeMat-Bulk.

Space-group type: Pm-3m (221)
Formation energy from raw total energies in eV per formula unit: 10.5

abc: 4.4940 4.4940 4.4940
angles: 90.00 90.00 90.00
With the nearest neighbours (Å) after each atom.
Sites, in units of the cell vectors:
B (0.0000, 0.5000, 0.0000)  2 Te 2.25
B (0.5000, 0.0000, 0.0000)  2 Te 2.25
B (0.0000, 0.0000, 0.5000)  2 Te 2.25
Te (0.0000, 0.0000, 0.0000)  6 B 2.25
Cd (0.5000, 0.5000, 0.5000)  12 B 3.18

---

The following DOS at the Fermi energy values (in states/eV per cell) correspond, in order, to the records above: 1.94 5.86 1.94 4.52 5.43 3.71 2.14 1.73 3.72 3.88 1.86 2.00 5.91 3.03.
The following ρ values (in Mg/m³) correspond, in order, to the records above: 8.06 9.62 5.67 5.11 7.86 6.40 7.55 7.39 4.13 6.93 6.67 5.01 4.78 4.98.